# K3Tb3GaSe8

A geometry-optimized K3Tb3GaSe8 structure (PBE-GGA, Alexandria via LeMat-Bulk).

a = 8.210 Å, b = 8.210 Å, c = 9.236 Å
α = 116.42°, β = 116.42°, γ = 59.95°
Element x y z (fractional)
K  0.000  0.000  0.000
K  0.000  0.500  0.000
K  0.500  0.000  0.000
Tb  0.000  0.500  0.500
Tb  0.500  0.000  0.500
Tb  0.500  0.500  0.500
Ga  0.000  0.000  0.500
Se  0.221  0.221  0.694
Se  0.222  0.751  0.695
Se  0.249  0.778  0.305
Se  0.264  0.264  0.293
Se  0.736  0.736  0.707
Se  0.751  0.222  0.695
Se  0.778  0.249  0.305
Se  0.779  0.779  0.306

Values from the calculation:
Fermi-level density of states: 0.803 states/eV/atom
SG: C2/m, No. 12
ΔE_f (raw): -1392 meV/atom

# CdHg

A geometry-optimized CdHg structure (PBE-GGA, Alexandria via LeMat-Bulk).

a = 5.737 Å, b = 5.737 Å, c = 5.737 Å
α = 134.09°, β = 134.09°, γ = 66.95°
Element x y z (fractional)
Cd  0.375  0.625  0.750
Cd  0.625  0.375  0.250
Hg  0.125  0.875  0.250
Hg  0.875  0.125  0.750

Values from the calculation:
Fermi-level density of states: 0.271 states/eV/atom
SG: I4_1/amd, No. 141
DFT formation energy: 0.026 eV/atom

# DyPuInPb

A geometry-optimized DyPuInPb structure (PBE-GGA, Alexandria via LeMat-Bulk).

a = 5.397 Å, b = 5.397 Å, c = 5.397 Å
α = 60.00°, β = 60.00°, γ = 60.00°
Element x y z (fractional)
Dy  0.000  0.000  0.000
Pu  0.500  0.500  0.500
In  0.750  0.750  0.750
Pb  0.250  0.250  0.250

Values from the calculation:
Fermi-level density of states: 2.715 states/eV/atom
SG: F-43m, No. 216
DFT formation energy: -0.246 eV/atom

# Na3Tb2PmTe6

A geometry-optimized Na3Tb2PmTe6 structure (PBE-GGA, Alexandria via LeMat-Bulk).

a = 7.741 Å, b = 7.741 Å, c = 7.997 Å
α = 99.29°, β = 99.29°, γ = 120.00°
Element x y z (fractional)
Na  0.000  0.000  0.000
Na  0.335  0.665  0.000
Na  0.665  0.335  0.000
Tb  0.167  0.833  0.500
Tb  0.833  0.167  0.500
Pm  0.500  0.500  0.500
Te  0.084  0.422  0.265
Te  0.240  0.240  0.734
Te  0.422  0.084  0.265
Te  0.578  0.916  0.735
Te  0.760  0.760  0.266
Te  0.916  0.578  0.735

Values from the calculation:
SG: C2/m, No. 12
ΔE_f (raw): -1324 meV/atom

# TbAgGe

A geometry-optimized TbAgGe structure (PBE-GGA, Alexandria via LeMat-Bulk).

a = 4.509 Å, b = 4.509 Å, c = 3.636 Å
α = 90.00°, β = 90.00°, γ = 120.00°
Element x y z (fractional)
Tb  0.000  0.000  0.000
Ag  0.667  0.333  0.500
Ge  0.333  0.667  0.502

Values from the calculation:
Fermi-level density of states: 0.522 states/eV/atom
SG: P3m1, No. 156
DFT formation energy: -0.540 eV/atom

# AcTb2In

A geometry-optimized AcTb2In structure (PBE-GGA, Alexandria via LeMat-Bulk).

a = 10.300 Å, b = 5.334 Å, c = 9.869 Å
α = 90.00°, β = 90.00°, γ = 90.00°
Element x y z (fractional)
Ac  0.068  0.250  0.137
Ac  0.432  0.750  0.637
Ac  0.568  0.250  0.363
Ac  0.932  0.750  0.863
Tb  0.088  0.750  0.505
Tb  0.176  0.250  0.745
Tb  0.324  0.750  0.245
Tb  0.412  0.250  0.005
Tb  0.588  0.750  0.995
Tb  0.676  0.250  0.755
Tb  0.824  0.750  0.255
Tb  0.912  0.250  0.495
In  0.247  0.250  0.436
In  0.253  0.750  0.936
In  0.747  0.250  0.064
In  0.753  0.750  0.564

Values from the calculation:
Fermi-level density of states: 1.176 states/eV/atom
SG: Pnma, No. 62
DFT formation energy: -0.165 eV/atom
energy above the lowest structure with this stoichiometry: 0.050 eV/atom